(P)
# PBE NaLa2Pr, relaxed
# Magnetization   0.00 μB/f.u.
data_NaLa2Pr
_cell_length_a 3.652
_cell_length_b 3.652
_cell_length_c 11.116
_cell_angle_alpha 90.00
_cell_angle_beta 90.00
_cell_angle_gamma 90.00
_symmetry_space_group_name_H-M 'P 1'
_symmetry_Int_Tables_number 1
loop_
_symmetry_equiv_pos_as_xyz
'x,y,z'
loop_
_atom_site_label
_atom_site_fract_x
_atom_site_fract_y
_atom_site_fract_z
Pr1 0.500 0.500 0.000
Na1 0.500 0.500 0.500
La1 0.000 0.000 0.767
La2 0.000 0.000 0.233

=====

(Q)
# PBE NaLa2Pr, relaxed
# Magnetization   0.00 μB/f.u.
data_NaLa2Pr
_cell_length_a 3.652
_cell_length_b 3.652
_cell_length_c 13.388
_cell_angle_alpha 82.16
_cell_angle_beta 82.16
_cell_angle_gamma 60.00
_symmetry_space_group_name_H-M 'P 1'
_symmetry_Int_Tables_number 1
loop_
_symmetry_equiv_pos_as_xyz
'x,y,z'
loop_
_atom_site_label
_atom_site_fract_x
_atom_site_fract_y
_atom_site_fract_z
Pr1 0.500 0.500 0.500
Na1 0.000 0.000 0.000
La1 0.091 0.091 0.726
La2 0.909 0.909 0.274

=====

(R)
# PBE NaLa2Pr, relaxed
# Magnetization   0.00 μB/f.u.
data_NaLa2Pr
_cell_length_a 3.790
_cell_length_b 6.169
_cell_length_c 6.169
_cell_angle_alpha 90.00
_cell_angle_beta 90.00
_cell_angle_gamma 90.00
_symmetry_space_group_name_H-M 'P 1'
_symmetry_Int_Tables_number 1
loop_
_symmetry_equiv_pos_as_xyz
'x,y,z'
loop_
_atom_site_label
_atom_site_fract_x
_atom_site_fract_y
_atom_site_fract_z
Pr1 0.500 0.000 0.000
Na1 0.500 0.500 0.500
La1 0.000 0.000 0.500
La2 0.000 0.500 0.000

=====

In terms of stability, (P) leads; the second structure lies 4.2 kJ/mol of atoms higher.